[1]
Compound: Ac8Ni3AuI4
Source: Alexandria via LeMat-Bulk
Functional: PBE
Structure: optimized geometry

## Properties
Total DFT energy (no corrections) ... -4.50 eV/atom
D(E_F) ... 6.54 states/eV/f.u.
E_form (uncorrected) ... -12.2 eV/f.u.
Crystal system ... monoclinic
Size of the total moment ... 0.00 μB/cell

a = 15.3828 Å, b = 8.8798 Å, c = 10.0184 Å
α = 90.00°, β = 120.84°, γ = 90.00°
Space group C2/m (No. 12)
Asymmetric unit:
Ac: 0.0257 0.2393 0.3168 (multiplicity 8)
Ac: 0.2280 0.0000 0.6834 (multiplicity 4)
Ac: 0.2349 0.5000 0.6832 (multiplicity 4)
Ni: 0.0000 0.0000 0.5000 (multiplicity 2)
Ni: 0.2500 0.2500 0.5000 (multiplicity 4)
Au: 0.0000 0.5000 0.5000 (multiplicity 2)
I: 0.0000 0.0000 0.0000 (multiplicity 2)
I: 0.0000 0.5000 0.0000 (multiplicity 2)
I: 0.2500 0.2500 0.0000 (multiplicity 4)

[2]
Compound: Ac8Ni3AuI3
Source: Alexandria via LeMat-Bulk
Functional: PBE
Structure: optimized geometry

## Properties
Total DFT energy (no corrections) ... -4.51 eV/atom
D(E_F) ... 9.31 states/eV/f.u.
E_form (uncorrected) ... -9.4 eV/f.u.
Crystal system ... monoclinic
Size of the total moment ... 0.00 μB/cell

a = 15.3997 Å, b = 8.8689 Å, c = 9.7937 Å
α = 90.00°, β = 121.67°, γ = 90.00°
Space group C2/m (No. 12)
Asymmetric unit:
Ac: 0.0243 0.2354 0.3092 (multiplicity 8)
Ac: 0.2296 0.0000 0.6877 (multiplicity 4)
Ac: 0.2402 0.5000 0.6909 (multiplicity 4)
Ni: 0.0000 0.0000 0.5000 (multiplicity 2)
Ni: 0.2500 0.2500 0.5000 (multiplicity 4)
Au: 0.0000 0.5000 0.5000 (multiplicity 2)
I: 0.0000 0.5000 0.0000 (multiplicity 2)
I: 0.2500 0.2500 0.0000 (multiplicity 4)

[3]
Compound: AcAu2IO8
Source: Alexandria via LeMat-Bulk
Functional: PBE
Structure: optimized geometry

## Properties
Total DFT energy (no corrections) ... -4.77 eV/atom
D(E_F) ... 1.51 states/eV/f.u.
E_form (uncorrected) ... -5.4 eV/f.u.
Crystal system ... tetragonal
Size of the total moment ... 0.00 μB/cell

a = 7.3393 Å, b = 7.3393 Å, c = 6.9709 Å
α = 90.00°, β = 90.00°, γ = 90.00°
Space group I-4m2 (No. 119)
Asymmetric unit:
Ac: 0.0000 0.0000 0.0000 (multiplicity 2)
Au: 0.0000 0.0000 0.5000 (multiplicity 2)
Au: 0.0000 0.5000 0.7500 (multiplicity 2)
I: 0.0000 0.5000 0.2500 (multiplicity 2)
O: 0.0000 0.2253 0.2940 (multiplicity 8)
O: 0.0000 0.3413 0.9815 (multiplicity 8)

[4]
Compound: AcAuI2O8
Source: Alexandria via LeMat-Bulk
Functional: PBE
Structure: optimized geometry

## Properties
Total DFT energy (no corrections) ... -4.84 eV/atom
D(E_F) ... 5.41 states/eV/f.u.
E_form (uncorrected) ... -7.9 eV/f.u.
Crystal system ... tetragonal
Size of the total moment ... 0.72 μB/cell

a = 7.6954 Å, b = 7.6954 Å, c = 7.2674 Å
α = 90.00°, β = 90.00°, γ = 90.00°
Space group I-4m2 (No. 119)
Asymmetric unit:
Ac: 0.0000 0.0000 0.0000 (multiplicity 2)
Au: 0.0000 0.5000 0.7500 (multiplicity 2)
I: 0.0000 0.0000 0.5000 (multiplicity 2)
I: 0.0000 0.5000 0.2500 (multiplicity 2)
O: 0.0000 0.1883 0.6712 (multiplicity 8)
O: 0.0000 0.3116 0.0833 (multiplicity 8)

[5]
Compound: Ac6OsAu2I3
Source: Alexandria via LeMat-Bulk
Functional: PBE
Structure: optimized geometry

## Properties
Total DFT energy (no corrections) ... -4.81 eV/atom
D(E_F) ... 6.80 states/eV/f.u.
E_form (uncorrected) ... -10.6 eV/f.u.
Crystal system ... monoclinic
Size of the total moment ... 0.00 μB/cell

a = 7.8471 Å, b = 13.5899 Å, c = 9.0159 Å
α = 90.00°, β = 106.87°, γ = 90.00°
Space group C2/m (No. 12)
Asymmetric unit:
Ac: 0.2198 0.1564 0.1897 (multiplicity 8)
Ac: 0.2495 0.0000 0.8099 (multiplicity 4)
Os: 0.0000 0.0000 0.0000 (multiplicity 2)
Au: 0.0000 0.3333 0.0000 (multiplicity 4)
I: 0.0000 0.1660 0.5000 (multiplicity 4)
I: 0.0000 0.5000 0.5000 (multiplicity 2)

[6]
Compound: Ac8Os3AuI4
Source: Alexandria via LeMat-Bulk
Functional: PBE
Structure: optimized geometry

## Properties
Total DFT energy (no corrections) ... -5.47 eV/atom
D(E_F) ... 5.96 states/eV/f.u.
E_form (uncorrected) ... -11.5 eV/f.u.
Crystal system ... trigonal
Size of the total moment ... 0.00 μB/cell

a = 8.8725 Å, b = 8.8725 Å, c = 25.7962 Å
α = 90.00°, β = 90.00°, γ = 120.00°
Space group R-3m (No. 166, hexagonal axes)
Asymmetric unit:
Ac: 0.0000 0.0000 0.2286 (multiplicity 6)
Ac: 0.0188 0.5094 0.7717 (multiplicity 18)
Os: 0.0000 0.5000 0.5000 (multiplicity 9)
Au: 0.0000 0.0000 0.5000 (multiplicity 3)
I: 0.0000 0.0000 0.0000 (multiplicity 3)
I: 0.0000 0.5000 0.0000 (multiplicity 9)

[7]
Compound: Ac6Os2AuI3
Source: Alexandria via LeMat-Bulk
Functional: PBE
Structure: optimized geometry

## Properties
Total DFT energy (no corrections) ... -5.37 eV/atom
D(E_F) ... 2.52 states/eV/f.u.
E_form (uncorrected) ... -9.4 eV/f.u.
Crystal system ... monoclinic
Size of the total moment ... 0.00 μB/cell

a = 7.7103 Å, b = 13.3534 Å, c = 9.0040 Å
α = 90.00°, β = 106.57°, γ = 90.00°
Space group C2/m (No. 12)
Asymmetric unit:
Ac: 0.2064 0.0000 0.1860 (multiplicity 4)
Ac: 0.2399 0.3223 0.1864 (multiplicity 8)
Os: 0.0000 0.1667 0.0000 (multiplicity 4)
Au: 0.0000 0.5000 0.0000 (multiplicity 2)
I: 0.0000 0.0000 0.5000 (multiplicity 2)
I: 0.0000 0.3340 0.5000 (multiplicity 4)

[8]
Compound: Ac6P2AuI3
Source: Alexandria via LeMat-Bulk
Functional: PBE
Structure: optimized geometry

## Properties
Total DFT energy (no corrections) ... -4.77 eV/atom
D(E_F) ... 9.11 states/eV/f.u.
E_form (uncorrected) ... -13.8 eV/f.u.
Crystal system ... monoclinic
Size of the total moment ... 0.00 μB/cell

a = 7.8393 Å, b = 13.5257 Å, c = 8.5270 Å
α = 90.00°, β = 107.57°, γ = 90.00°
Space group C2/m (No. 12)
Asymmetric unit:
Ac: 0.2264 0.0000 0.2001 (multiplicity 4)
Ac: 0.2364 0.3299 0.2004 (multiplicity 8)
P: 0.0000 0.1665 0.0000 (multiplicity 4)
Au: 0.0000 0.5000 0.0000 (multiplicity 2)
I: 0.0000 0.0000 0.5000 (multiplicity 2)
I: 0.0000 0.3330 0.5000 (multiplicity 4)

[9]
Compound: Ac6Pd2AuI3
Source: Alexandria via LeMat-Bulk
Functional: PBE
Structure: optimized geometry

## Properties
Total DFT energy (no corrections) ... -4.53 eV/atom
D(E_F) ... 7.01 states/eV/f.u.
E_form (uncorrected) ... -11.4 eV/f.u.
Crystal system ... monoclinic
Size of the total moment ... 0.00 μB/cell

a = 7.8580 Å, b = 13.6109 Å, c = 8.9912 Å
α = 90.00°, β = 106.95°, γ = 90.00°
Space group C2/m (No. 12)
Asymmetric unit:
Ac: 0.2229 0.0000 0.1888 (multiplicity 4)
Ac: 0.2331 0.3300 0.1890 (multiplicity 8)
Pd: 0.0000 0.1667 0.0000 (multiplicity 4)
Au: 0.0000 0.5000 0.0000 (multiplicity 2)
I: 0.0000 0.0000 0.5000 (multiplicity 2)
I: 0.0000 0.3344 0.5000 (multiplicity 4)

[10]
Compound: Ac4PtAuI2
Source: Alexandria via LeMat-Bulk
Functional: PBE
Structure: optimized geometry

## Properties
Total DFT energy (no corrections) ... -4.68 eV/atom
D(E_F) ... 4.32 states/eV/f.u.
E_form (uncorrected) ... -8.6 eV/f.u.
Crystal system ... monoclinic
Size of the total moment ... 0.00 μB/cell

a = 7.8636 Å, b = 4.5671 Å, c = 8.9796 Å
α = 90.00°, β = 107.06°, γ = 90.00°
Space group P2/m (No. 10)
Asymmetric unit:
Ac: 0.2222 0.0000 0.1892 (multiplicity 2)
Ac: 0.2592 0.5000 0.8116 (multiplicity 2)
Pt: 0.0000 0.5000 0.0000 (multiplicity 1)
Au: 0.5000 0.0000 0.0000 (multiplicity 1)
I: 0.0000 0.0000 0.5000 (multiplicity 1)
I: 0.5000 0.5000 0.5000 (multiplicity 1)

[11]
Compound: Ac6Pt3Au2I
Source: Alexandria via LeMat-Bulk
Functional: PBE
Structure: optimized geometry

## Properties
Total DFT energy (no corrections) ... -5.28 eV/atom
D(E_F) ... 8.66 states/eV/f.u.
E_form (uncorrected) ... -12.5 eV/f.u.
Crystal system ... monoclinic
Size of the total moment ... 0.00 μB/cell

a = 20.1331 Å, b = 4.4276 Å, c = 9.4048 Å
α = 90.00°, β = 106.58°, γ = 90.00°
Space group C2/m (No. 12)
Asymmetric unit:
Ac: 0.0047 0.0000 0.2185 (multiplicity 4)
Ac: 0.1616 0.5000 0.0962 (multiplicity 4)
Ac: 0.1802 0.5000 0.5752 (multiplicity 4)
Pt: 0.0000 0.5000 0.0000 (multiplicity 2)
Pt: 0.1641 0.0000 0.3327 (multiplicity 4)
Au: 0.1654 0.0000 0.8301 (multiplicity 4)
I: 0.0000 0.5000 0.5000 (multiplicity 2)

[12]
Compound: Ac8Pt3AuI4
Source: Alexandria via LeMat-Bulk
Functional: PBE
Structure: optimized geometry

## Properties
Total DFT energy (no corrections) ... -4.93 eV/atom
D(E_F) ... 6.27 states/eV/f.u.
E_form (uncorrected) ... -18.4 eV/f.u.
Crystal system ... monoclinic
Size of the total moment ... 0.00 μB/cell

a = 15.6702 Å, b = 9.0444 Å, c = 10.0830 Å
α = 90.00°, β = 121.25°, γ = 90.00°
Space group C2/m (No. 12)
Asymmetric unit:
Ac: 0.0237 0.2431 0.3144 (multiplicity 8)
Ac: 0.2290 0.0000 0.6865 (multiplicity 4)
Ac: 0.2333 0.5000 0.6856 (multiplicity 4)
Pt: 0.0000 0.0000 0.5000 (multiplicity 2)
Pt: 0.2500 0.2500 0.5000 (multiplicity 4)
Au: 0.0000 0.5000 0.5000 (multiplicity 2)
I: 0.0000 0.0000 0.0000 (multiplicity 2)
I: 0.0000 0.5000 0.0000 (multiplicity 2)
I: 0.2500 0.2500 0.0000 (multiplicity 4)

[13]
Compound: Ac6Rh2AuI3
Source: Alexandria via LeMat-Bulk
Functional: PBE
Structure: optimized geometry

## Properties
Total DFT energy (no corrections) ... -4.95 eV/atom
D(E_F) ... 7.59 states/eV/f.u.
E_form (uncorrected) ... -12.1 eV/f.u.
Crystal system ... monoclinic
Size of the total moment ... 0.00 μB/cell

a = 7.7222 Å, b = 13.3738 Å, c = 9.0262 Å
α = 90.00°, β = 106.57°, γ = 90.00°
Space group C2/m (No. 12)
Asymmetric unit:
Ac: 0.2131 0.0000 0.1866 (multiplicity 4)
Ac: 0.2369 0.3254 0.1870 (multiplicity 8)
Rh: 0.0000 0.1667 0.0000 (multiplicity 4)
Au: 0.0000 0.5000 0.0000 (multiplicity 2)
I: 0.0000 0.0000 0.5000 (multiplicity 2)
I: 0.0000 0.3343 0.5000 (multiplicity 4)

[14]
Compound: Ac4RhAuI2
Source: Alexandria via LeMat-Bulk
Functional: PBE
Structure: optimized geometry

## Properties
Total DFT energy (no corrections) ... -4.75 eV/atom
D(E_F) ... 4.61 states/eV/f.u.
E_form (uncorrected) ... -7.9 eV/f.u.
Crystal system ... monoclinic
Size of the total moment ... 0.00 μB/cell

a = 7.8291 Å, b = 4.4921 Å, c = 9.0102 Å
α = 90.00°, β = 106.86°, γ = 90.00°
Space group P2/m (No. 10)
Asymmetric unit:
Ac: 0.2178 0.0000 0.1860 (multiplicity 2)
Ac: 0.2542 0.5000 0.8123 (multiplicity 2)
Rh: 0.0000 0.5000 0.0000 (multiplicity 1)
Au: 0.5000 0.0000 0.0000 (multiplicity 1)
I: 0.0000 0.0000 0.5000 (multiplicity 1)
I: 0.5000 0.5000 0.5000 (multiplicity 1)

[15]
Compound: Ac8Rh3AuI3
Source: Alexandria via LeMat-Bulk
Functional: PBE
Structure: optimized geometry

## Properties
Total DFT energy (no corrections) ... -5.08 eV/atom
D(E_F) ... 6.83 states/eV/f.u.
E_form (uncorrected) ... -13.4 eV/f.u.
Crystal system ... monoclinic
Size of the total moment ... 0.00 μB/cell

a = 15.3870 Å, b = 8.8938 Å, c = 9.8714 Å
α = 90.00°, β = 121.31°, γ = 90.00°
Space group C2/m (No. 12)
Asymmetric unit:
Ac: 0.0237 0.2384 0.3088 (multiplicity 8)
Ac: 0.2295 0.0000 0.6896 (multiplicity 4)
Ac: 0.2380 0.5000 0.6907 (multiplicity 4)
Rh: 0.0000 0.0000 0.5000 (multiplicity 2)
Rh: 0.2500 0.2500 0.5000 (multiplicity 4)
Au: 0.0000 0.5000 0.5000 (multiplicity 2)
I: 0.0000 0.5000 0.0000 (multiplicity 2)
I: 0.2500 0.2500 0.0000 (multiplicity 4)

[16]
Compound: Ac4RhAu2I
Source: Alexandria via LeMat-Bulk
Functional: PBE
Structure: optimized geometry

## Properties
Total DFT energy (no corrections) ... -4.78 eV/atom
D(E_F) ... 6.41 states/eV/f.u.
E_form (uncorrected) ... -6.4 eV/f.u.
Crystal system ... monoclinic
Size of the total moment ... 0.00 μB/cell

a = 7.7422 Å, b = 4.4977 Å, c = 8.3974 Å
α = 90.00°, β = 108.12°, γ = 90.00°
Space group P2/m (No. 10)
Asymmetric unit:
Ac: 0.2360 0.0000 0.2104 (multiplicity 2)
Ac: 0.2547 0.5000 0.7921 (multiplicity 2)
Rh: 0.0000 0.5000 0.0000 (multiplicity 1)
Au: 0.5000 0.0000 0.0000 (multiplicity 1)
Au: 0.5000 0.5000 0.5000 (multiplicity 1)
I: 0.0000 0.0000 0.5000 (multiplicity 1)

[17]
Compound: Ac6Ru2AuI3
Source: Alexandria via LeMat-Bulk
Functional: PBE
Structure: optimized geometry

## Properties
Total DFT energy (no corrections) ... -5.11 eV/atom
D(E_F) ... 2.81 states/eV/f.u.
E_form (uncorrected) ... -10.2 eV/f.u.
Crystal system ... monoclinic
Size of the total moment ... 0.00 μB/cell

a = 7.6680 Å, b = 13.2767 Å, c = 9.0366 Å
α = 90.00°, β = 106.40°, γ = 90.00°
Space group C2/m (No. 12)
Asymmetric unit:
Ac: 0.2073 0.0000 0.1861 (multiplicity 4)
Ac: 0.2395 0.3228 0.1866 (multiplicity 8)
Ru: 0.0000 0.1667 0.0000 (multiplicity 4)
Au: 0.0000 0.5000 0.0000 (multiplicity 2)
I: 0.0000 0.0000 0.5000 (multiplicity 2)
I: 0.0000 0.3338 0.5000 (multiplicity 4)

[18]
Compound: Ac8Ru3AuI4
Source: Alexandria via LeMat-Bulk
Functional: PBE
Structure: optimized geometry

## Properties
Total DFT energy (no corrections) ... -5.19 eV/atom
D(E_F) ... 7.50 states/eV/f.u.
E_form (uncorrected) ... -12.8 eV/f.u.
Crystal system ... trigonal
Size of the total moment ... 0.00 μB/cell

a = 8.8177 Å, b = 8.8177 Å, c = 25.9449 Å
α = 90.00°, β = 90.00°, γ = 120.00°
Space group R-3m (No. 166, hexagonal axes)
Asymmetric unit:
Ac: 0.0000 0.0000 0.2290 (multiplicity 6)
Ac: 0.0177 0.5088 0.7716 (multiplicity 18)
Ru: 0.0000 0.5000 0.5000 (multiplicity 9)
Au: 0.0000 0.0000 0.5000 (multiplicity 3)
I: 0.0000 0.0000 0.0000 (multiplicity 3)
I: 0.0000 0.5000 0.0000 (multiplicity 9)

[19]
Compound: Ac8Si3AuI4
Source: Alexandria via LeMat-Bulk
Functional: PBE
Structure: optimized geometry

## Properties
Total DFT energy (no corrections) ... -4.56 eV/atom
D(E_F) ... 11.40 states/eV/f.u.
E_form (uncorrected) ... -14.4 eV/f.u.
Crystal system ... trigonal
Size of the total moment ... 0.00 μB/cell

a = 9.2531 Å, b = 9.2531 Å, c = 24.1108 Å
α = 90.00°, β = 90.00°, γ = 120.00°
Space group R-3m (No. 166, hexagonal axes)
Asymmetric unit:
Ac: 0.0000 0.0000 0.2341 (multiplicity 6)
Ac: 0.0024 0.5012 0.7655 (multiplicity 18)
Si: 0.0000 0.5000 0.5000 (multiplicity 9)
Au: 0.0000 0.0000 0.5000 (multiplicity 3)
I: 0.0000 0.0000 0.0000 (multiplicity 3)
I: 0.0000 0.5000 0.0000 (multiplicity 9)

[20]
Compound: Ac4InAu
Source: Alexandria via LeMat-Bulk
Functional: PBE
Structure: optimized geometry

## Properties
Total DFT energy (no corrections) ... -4.02 eV/atom
D(E_F) ... 6.97 states/eV/f.u.
Energy of formation from the pure elements ... -0.275 eV per atom
Crystal system ... orthorhombic
Size of the total moment ... 0.00 μB/cell
Energy above the most stable polymorph in this dataset ... 93.6 meV/atom

a = 5.9369 Å, b = 22.7973 Å, c = 7.0906 Å
α = 90.00°, β = 90.00°, γ = 90.00°
Space group Cmc2_1 (No. 36)
Asymmetric unit:
Ac: 0.0000 0.0548 0.0000 (multiplicity 4)
Ac: 0.0000 0.1953 0.2759 (multiplicity 4)
Ac: 0.0000 0.2137 0.7936 (multiplicity 4)
Ac: 0.0000 0.3916 0.0462 (multiplicity 4)
In: 0.0000 0.3458 0.5291 (multiplicity 4)
Au: 0.0000 0.0806 0.5348 (multiplicity 4)